Material: Sc2NiF
Method: DFT, PBE with a Hubbard U
State: relaxed

abc: 7.0160 7.0160 7.0160
angles: 31.06 31.06 31.06
Last column: nearest neighbours and their distance in Å.
Element x y z (fractional)
1 Sc 0.1020 0.1020 0.1020  1 F 2.04
2 Sc 0.8980 0.8980 0.8980  1 F 2.04
3 Ni 0.5000 0.5000 0.5000  6 Sc 2.53
4 F 0.0000 0.0000 0.0000  2 Sc 2.04

Values from the calculation:
The mass density is 3.41 g/cm³. For the energy above the most stable polymorph in this dataset, the calculation gives 0 meV/atom.